Density functional theory data (PBE) for an optimized crystal structure of Ta2Ga2Ge.

Cell: 6.7163 6.7163 3.7386 Å, 90.00 90.00 90.00°
With the nearest neighbours (Å) after each atom.
Sites, in units of the cell vectors:
Ge (0.0000, 0.0000, 0.0000)  4 Ga 2.63
Ge (0.5000, 0.5000, 0.0000)  4 Ga 2.63
Ga (0.3701, 0.8701, 0.0000)  1 Ga 2.47, 2 Ge 2.63, 2 Ta 2.65
Ga (0.8701, 0.6299, 0.0000)  1 Ga 2.47, 2 Ge 2.63, 2 Ta 2.65
Ga (0.6299, 0.1299, 0.0000)  1 Ga 2.47, 2 Ge 2.63, 2 Ta 2.65
Ga (0.1299, 0.3701, 0.0000)  1 Ga 2.47, 2 Ge 2.63, 2 Ta 2.65
Ta (0.1721, 0.6721, 0.5000)  6 Ga 2.65-2.77
Ta (0.6721, 0.8279, 0.5000)  6 Ga 2.65-2.77
Ta (0.8279, 0.3279, 0.5000)  6 Ga 2.65-2.77
Ta (0.3279, 0.1721, 0.5000)  6 Ga 2.65-2.77

Output
* energy relative to the lowest polymorph listed for this composition: 24.81 kJ per mole of atoms
* total DFT energy (no corrections): -66.664 eV for the cell shown
* SG: No. 127
* D(E_F): 13.09 states/eV/cell

Density functional theory data (PBE) for an optimized crystal structure of Ta2GaGe.

Cell: 5.6056 5.6056 7.4717 Å, 67.97 67.97 90.00°
With the nearest neighbours (Å) after each atom.
Sites, in units of the cell vectors:
Ge (0.0000, 0.0000, 0.0000)  4 Ta 2.55
Ge (0.7500, 0.2500, 0.5000)  4 Ta 2.55
Ga (0.5000, 0.5000, 0.0000)  4 Ta 2.53
Ga (0.2500, 0.7500, 0.5000)  4 Ta 2.53
Ta (0.6223, 0.1250, 0.2500)  2 Ga 2.53, 2 Ge 2.55
Ta (0.1277, 0.6250, 0.2500)  2 Ga 2.53, 2 Ge 2.55
Ta (0.3750, 0.3777, 0.7500)  2 Ga 2.53, 2 Ge 2.55
Ta (0.8750, 0.8723, 0.7500)  2 Ga 2.53, 2 Ge 2.55

Output
* total DFT energy (no corrections): -52.446 eV for the cell shown
* SG: No. 122
* D(E_F): 10.02 states/eV/cell

Density functional theory data (PBE) for an optimized crystal structure of Ta6Ga5Ge.

Cell: 6.4289 6.4201 6.4085 Å, 59.94 80.46 70.68°
With the nearest neighbours (Å) after each atom.
Sites, in units of the cell vectors:
Ta (0.7507, 0.0830, 0.3302)  1 Ge 2.60, 5 Ga 2.61-2.63
Ta (0.2493, 0.5868, 0.3302)  1 Ge 2.60, 5 Ga 2.61-2.63
Ta (0.2493, 0.2471, 0.0000)  1 Ge 2.60, 5 Ga 2.62-2.64
Ta (0.7507, 0.7529, 0.0000)  1 Ge 2.60, 5 Ga 2.62-2.64
Ta (0.7507, 0.4132, 0.6698)  1 Ge 2.60, 5 Ga 2.61-2.63
Ta (0.2493, 0.9170, 0.6698)  1 Ge 2.60, 5 Ga 2.61-2.63
Ga (0.5000, 0.1674, 0.6651)  6 Ta 2.61-2.63
Ga (0.0000, 0.3333, 0.3335)  6 Ta 2.63
Ga (0.5000, 0.5000, 0.0000)  6 Ta 2.62-2.64
Ga (0.0000, 0.6667, 0.6665)  6 Ta 2.63
Ga (0.5000, 0.8326, 0.3349)  6 Ta 2.61-2.63
Ge (0.0000, 0.0000, 0.0000)  6 Ta 2.60

Output
* total DFT energy (no corrections): -88.501 eV for the cell shown
* SG: No. 12
* D(E_F): 3.43 states/eV/cell

Density functional theory data (PBE) for an optimized crystal structure of Ta2GaGe.

Cell: 2.9943 2.9943 8.7775 Å, 90.00 90.00 60.18°
With the nearest neighbours (Å) after each atom.
Sites, in units of the cell vectors:
Ta (0.1251, 0.1251, 0.7542)  3 Ge 2.76-2.77, 3 Ga 2.82, 6 Ta 2.99-3.00
Ta (0.1250, 0.1250, 0.2458)  3 Ge 2.76-2.77, 3 Ga 2.82, 6 Ta 2.99-3.00
Ga (0.4586, 0.4586, 0.5000)  6 Ta 2.82, 6 Ga 2.99-3.00
Ge (0.7913, 0.7913, 0.0000)  6 Ta 2.76-2.77, 6 Ge 2.99-3.00

Output
* total DFT energy (no corrections): -31.914 eV for the cell shown
* SG: No. 38
* D(E_F): 2.64 states/eV/cell

Density functional theory data (PBE) for an optimized crystal structure of Ta4Ga2Ge.

Cell: 3.5467 5.0865 14.5161 Å, 90.00 90.00 110.40°
With the nearest neighbours (Å) after each atom.
Sites, in units of the cell vectors:
Ta (0.8896, 0.7792, 0.1329)  2 Ge 2.69, 3 Ga 2.76-2.94, 4 Ta 2.82-2.99
Ta (0.8896, 0.7792, 0.3671)  2 Ge 2.69, 3 Ga 2.76-2.94, 4 Ta 2.82-2.99
Ta (0.1104, 0.2208, 0.8671)  2 Ge 2.69, 3 Ga 2.76-2.94, 4 Ta 2.82-2.99
Ta (0.1104, 0.2208, 0.6329)  2 Ge 2.69, 3 Ga 2.76-2.94, 4 Ta 2.82-2.99
Ta (0.7895, 0.5790, 0.7500)  3 Ge 2.64-2.81, 2 Ga 2.73
Ta (0.2105, 0.4210, 0.2500)  3 Ge 2.64-2.81, 2 Ga 2.73
Ta (0.5000, 0.0000, 0.0000)  6 Ga 2.72-3.04, 4 Ta 2.82
Ta (0.5000, 0.0000, 0.5000)  6 Ga 2.72-3.04, 4 Ta 2.82
Ga (0.1952, 0.3905, 0.4378)  7 Ta 2.72-3.04, 2 Ga 2.74
Ga (0.8048, 0.6095, 0.9378)  7 Ta 2.72-3.04, 2 Ga 2.74
Ga (0.1952, 0.3905, 0.0622)  7 Ta 2.72-3.04, 2 Ga 2.74
Ga (0.8048, 0.6095, 0.5622)  7 Ta 2.72-3.04, 2 Ga 2.74
Ge (0.4946, 0.9892, 0.7500)  7 Ta 2.64-2.81
Ge (0.5054, 0.0108, 0.2500)  7 Ta 2.64-2.81

Output
* total DFT energy (no corrections): -116.157 eV for the cell shown
* SG: No. 63
* D(E_F): 10.26 states/eV/cell

Density functional theory data (PBE) for an optimized crystal structure of Ta8Ga2Ge.

Cell: 5.0617 6.9978 6.9978 Å, 116.02 103.67 103.67°
With the nearest neighbours (Å) after each atom.
Sites, in units of the cell vectors:
Ta (0.8858, 0.9070, 0.6773)  2 Ga 2.65-2.66, 4 Ta 2.73-2.91
Ta (0.8858, 0.6773, 0.9070)  2 Ga 2.65-2.66, 4 Ta 2.73-2.91
Ta (0.3184, 0.6112, 0.6112)  1 Ge 2.61, 2 Ga 2.71, 3 Ta 2.89-2.91
Ta (0.5000, 0.7723, 0.2277)  2 Ga 2.70, 1 Ge 2.70, 2 Ta 2.87
Ta (0.5000, 0.2277, 0.7723)  2 Ga 2.70, 1 Ge 2.70, 2 Ta 2.87
Ta (0.6816, 0.3888, 0.3888)  1 Ge 2.61, 2 Ga 2.71, 3 Ta 2.89-2.91
Ta (0.1142, 0.3227, 0.0930)  2 Ga 2.65-2.66, 4 Ta 2.73-2.91
Ta (0.1142, 0.0930, 0.3227)  2 Ga 2.65-2.66, 4 Ta 2.73-2.91
Ga (0.0000, 0.3067, 0.6933)  8 Ta 2.65-2.71
Ga (0.0000, 0.6933, 0.3067)  8 Ta 2.65-2.71
Ge (0.5000, 0.0000, 0.0000)  4 Ta 2.61-2.70

Output
* total DFT energy (no corrections): -104.325 eV for the cell shown
* SG: No. 12
* D(E_F): 8.48 states/eV/cell

Density functional theory data (PBE) for an optimized crystal structure of Ta8GaGe2.

Cell: 4.9589 6.8786 6.8786 Å, 113.95 101.50 101.50°
With the nearest neighbours (Å) after each atom.
Sites, in units of the cell vectors:
Ta (0.8880, 0.9120, 0.6785)  2 Ge 2.60-2.67, 4 Ta 2.69-2.90
Ta (0.8880, 0.6785, 0.9120)  2 Ge 2.60-2.67, 4 Ta 2.69-2.90
Ta (0.3363, 0.6193, 0.6193)  1 Ga 2.67, 2 Ge 2.68, 3 Ta 2.82-2.90
Ta (0.5000, 0.7646, 0.2354)  2 Ge 2.63, 1 Ga 2.72, 2 Ta 2.90
Ta (0.5000, 0.2354, 0.7646)  2 Ge 2.63, 1 Ga 2.72, 2 Ta 2.90
Ta (0.6637, 0.3807, 0.3807)  1 Ga 2.67, 2 Ge 2.68, 3 Ta 2.82-2.90
Ta (0.1120, 0.3215, 0.0880)  2 Ge 2.60-2.67, 4 Ta 2.69-2.90
Ta (0.1120, 0.0880, 0.3215)  2 Ge 2.60-2.67, 4 Ta 2.69-2.90
Ga (0.5000, 0.0000, 0.0000)  4 Ta 2.67-2.72
Ge (0.0000, 0.3127, 0.6873)  8 Ta 2.60-2.68
Ge (0.0000, 0.6873, 0.3127)  8 Ta 2.60-2.68

Output
* total DFT energy (no corrections): -106.491 eV for the cell shown
* SG: No. 12
* D(E_F): 8.61 states/eV/cell

Density functional theory data (PBE) for an optimized crystal structure of TaGaGe2.

Cell: 2.9383 2.9383 10.0189 Å, 81.57 81.57 60.00°
With the nearest neighbours (Å) after each atom.
Sites, in units of the cell vectors:
Ge (0.0909, 0.0909, 0.7272)  1 Ga 2.69, 3 Ta 2.81, 6 Ge 2.94
Ge (0.9091, 0.9091, 0.2728)  1 Ga 2.69, 3 Ta 2.81, 6 Ge 2.94
Ga (0.0000, 0.0000, 0.0000)  2 Ge 2.69, 6 Ga 2.94
Ta (0.5000, 0.5000, 0.5000)  6 Ge 2.81, 6 Ta 2.94

Output
* total DFT energy (no corrections): -23.992 eV for the cell shown
* SG: No. 166
* D(E_F): 1.52 states/eV/cell

Density functional theory data (PBE) for an optimized crystal structure of Ta4GaGe.

Cell: 5.2146 6.2650 6.2650 Å, 90.00 90.00 90.00°
With the nearest neighbours (Å) after each atom.
Sites, in units of the cell vectors:
Ta (0.0000, 0.1583, 0.6574)  2 Ge 2.69, 2 Ga 2.70, 1 Ta 2.80
Ta (0.0000, 0.8417, 0.3426)  2 Ge 2.69, 2 Ga 2.70, 1 Ta 2.80
Ta (0.0000, 0.3426, 0.1583)  2 Ge 2.69, 2 Ga 2.70, 1 Ta 2.80
Ta (0.0000, 0.6574, 0.8417)  2 Ge 2.69, 2 Ga 2.70, 1 Ta 2.80
Ta (0.5000, 0.8417, 0.6574)  2 Ge 2.69, 2 Ga 2.70, 1 Ta 2.80
Ta (0.5000, 0.1583, 0.3426)  2 Ge 2.69, 2 Ga 2.70, 1 Ta 2.80
Ta (0.5000, 0.6574, 0.1583)  2 Ge 2.69, 2 Ga 2.70, 1 Ta 2.80
Ta (0.5000, 0.3426, 0.8417)  2 Ge 2.69, 2 Ga 2.70, 1 Ta 2.80
Ga (0.2500, 0.0000, 0.0000)  2 Ga 2.61, 8 Ta 2.70
Ga (0.7500, 0.0000, 0.0000)  2 Ga 2.61, 8 Ta 2.70
Ge (0.2500, 0.5000, 0.5000)  2 Ge 2.61, 8 Ta 2.69
Ge (0.7500, 0.5000, 0.5000)  2 Ge 2.61, 8 Ta 2.69

Output
* energy relative to the lowest polymorph listed for this composition: 0.00 kJ per mole of atoms
* total DFT energy (no corrections): -113.263 eV for the cell shown
* SG: No. 124
* D(E_F): 7.80 states/eV/cell

Density functional theory data (PBE) for an optimized crystal structure of Ta4GaGe.

Cell: 5.1817 6.1076 8.3909 Å, 101.76 96.90 121.23°
With the nearest neighbours (Å) after each atom.
Sites, in units of the cell vectors:
Ta (0.9666, 0.2147, 0.9280)  5 Ta 2.78-2.83, 2 Ge 2.83-2.91, 2 Ga 2.84-2.91
Ta (0.4614, 0.7133, 0.9280)  5 Ta 2.78-2.83, 2 Ge 2.83-2.91, 2 Ga 2.84-2.91
Ta (0.2840, 0.5368, 0.5722)  5 Ta 2.80-2.86, 2 Ge 2.82-2.91, 2 Ga 2.85-2.91
Ta (0.7160, 0.4632, 0.4278)  5 Ta 2.80-2.86, 2 Ge 2.82-2.91, 2 Ga 2.85-2.91
Ta (0.2118, 0.9646, 0.4278)  5 Ta 2.80-2.86, 2 Ge 2.82-2.91, 2 Ga 2.85-2.91
Ta (0.5386, 0.2867, 0.0720)  5 Ta 2.78-2.83, 2 Ge 2.83-2.91, 2 Ga 2.84-2.91
Ta (0.7882, 0.0354, 0.5722)  5 Ta 2.80-2.86, 2 Ge 2.82-2.91, 2 Ga 2.85-2.91
Ta (0.0334, 0.7853, 0.0720)  5 Ta 2.78-2.83, 2 Ge 2.83-2.91, 2 Ga 2.84-2.91
Ga (0.3752, 0.6252, 0.2503)  2 Ge 2.80, 8 Ta 2.84-2.91
Ga (0.6248, 0.3748, 0.7497)  2 Ge 2.80, 8 Ta 2.84-2.91
Ge (0.1251, 0.8751, 0.7502)  2 Ga 2.80, 8 Ta 2.82-2.91
Ge (0.8749, 0.1249, 0.2498)  2 Ga 2.80, 8 Ta 2.82-2.91

Output
* energy relative to the lowest polymorph listed for this composition: 37.45 kJ per mole of atoms
* total DFT energy (no corrections): -108.605 eV for the cell shown
* SG: No. 15
* D(E_F): 8.48 states/eV/cell

Density functional theory data (PBE) for an optimized crystal structure of Ta2Ga2Ge.

Cell: 6.7440 6.7440 3.9508 Å, 90.00 90.00 90.00°
With the nearest neighbours (Å) after each atom.
Sites, in units of the cell vectors:
Ge (0.0000, 0.0000, 0.0000)  4 Ta 2.57
Ge (0.5000, 0.5000, 0.0000)  4 Ta 2.57
Ga (0.1527, 0.6527, 0.5000)  6 Ta 2.73-2.84, 1 Ga 2.91
Ga (0.6527, 0.8473, 0.5000)  6 Ta 2.73-2.84, 1 Ga 2.91
Ga (0.8473, 0.3473, 0.5000)  6 Ta 2.73-2.84, 1 Ga 2.91
Ga (0.3473, 0.1527, 0.5000)  6 Ta 2.73-2.84, 1 Ga 2.91
Ta (0.3502, 0.8502, 0.0000)  2 Ge 2.57, 6 Ga 2.73-2.84, 1 Ta 2.86
Ta (0.8502, 0.6498, 0.0000)  2 Ge 2.57, 6 Ga 2.73-2.84, 1 Ta 2.86
Ta (0.6498, 0.1498, 0.0000)  2 Ge 2.57, 6 Ga 2.73-2.84, 1 Ta 2.86
Ta (0.1498, 0.3502, 0.0000)  2 Ge 2.57, 6 Ga 2.73-2.84, 1 Ta 2.86

Output
* energy relative to the lowest polymorph listed for this composition: 0.00 kJ per mole of atoms
* total DFT energy (no corrections): -69.236 eV for the cell shown
* SG: No. 127
* D(E_F): 5.88 states/eV/cell

Density functional theory data (PBE) for an optimized crystal structure of TaGaGe2.

Cell: 5.9271 5.9271 7.1160 Å, 65.39 65.39 90.00°
With the nearest neighbours (Å) after each atom.
Sites, in units of the cell vectors:
Ge (0.6239, 0.1250, 0.2500)  2 Ga 2.54, 2 Ta 2.54
Ge (0.1261, 0.6250, 0.2500)  2 Ga 2.54, 2 Ta 2.54
Ge (0.3750, 0.3761, 0.7500)  2 Ga 2.54, 2 Ta 2.54
Ge (0.8750, 0.8739, 0.7500)  2 Ga 2.54, 2 Ta 2.54
Ga (0.5000, 0.5000, 0.0000)  4 Ge 2.54
Ga (0.2500, 0.7500, 0.5000)  4 Ge 2.54
Ta (0.0000, 0.0000, 0.0000)  4 Ge 2.54
Ta (0.7500, 0.2500, 0.5000)  4 Ge 2.54

Output
* total DFT energy (no corrections): -43.491 eV for the cell shown
* SG: No. 122
* D(E_F): 1.26 states/eV/cell

Number 1: formation enthalpy at 0 K 0.2088 eV/atom. Number 2: formation enthalpy at 0 K 1.2816 eV/atom. Number 3: formation enthalpy at 0 K 0.1972 eV/atom. Number 4: formation enthalpy at 0 K -0.1411 eV/atom. Number 5: formation enthalpy at 0 K 0.0005 eV/atom. Number 6: formation enthalpy at 0 K 0.1061 eV/atom. Number 7: formation enthalpy at 0 K 0.0538 eV/atom. Number 8: formation enthalpy at 0 K 0.0307 eV/atom. Number 9: formation enthalpy at 0 K -0.2628 eV/atom. Number 10: formation enthalpy at 0 K 0.1254 eV/atom. Number 11: formation enthalpy at 0 K -0.0483 eV/atom. Number 12: formation enthalpy at 0 K 0.5921 eV/atom.